Entry 1:
# Al3Rh, optimized geometry, DFT PBE
# DOS at the Fermi energy, states/eV per atom: 0.6076
# Crystal system: trigonal
# Magnetic moment, μB per atom: 0.000
# Energy of formation from the pure elements, kJ/mol of formula units: -165
data_Al3Rh
_chemical_formula_sum 'Al9 Rh3'
_space_group_name_H-M_alt 'R -3 m'
_space_group_IT_number 166
_space_group_name_Hall '-R 3 2"'
_cell_length_a 2.9136
_cell_length_b 2.9136
_cell_length_c 25.2035
_cell_angle_alpha 90.00
_cell_angle_beta 90.00
_cell_angle_gamma 120.00
loop_
_atom_site_label
_atom_site_fract_x
_atom_site_fract_y
_atom_site_fract_z
Al1 0.0000 0.0000 0.0000
Al2 0.0000 0.0000 0.2429
Rh1 0.0000 0.0000 0.5000

***

Entry 2:
# AlRh3, optimized geometry, DFT PBE
# DOS at the Fermi energy, states/eV per atom: 1.0878
# Crystal system: trigonal
# Magnetic moment, μB per atom: 0.023
# Energy of formation from the pure elements, kJ/mol of formula units: -126
data_AlRh3
_chemical_formula_sum 'Al3 Rh9'
_space_group_name_H-M_alt 'R -3 m'
_space_group_IT_number 166
_space_group_name_Hall '-R 3 2"'
_cell_length_a 2.7852
_cell_length_b 2.7852
_cell_length_c 25.2604
_cell_angle_alpha 90.00
_cell_angle_beta 90.00
_cell_angle_gamma 120.00
loop_
_atom_site_label
_atom_site_fract_x
_atom_site_fract_y
_atom_site_fract_z
Al1 0.0000 0.0000 0.0000
Rh1 0.0000 0.0000 0.2543
Rh2 0.0000 0.0000 0.5000

***

Entry 3:
# AlRh4, optimized geometry, DFT PBE
# DOS at the Fermi energy, states/eV per atom: 1.1299
# Crystal system: tetragonal
# Magnetic moment, μB per atom: 0.000
# Energy of formation from the pure elements, kJ/mol of formula units: -187
data_AlRh4
_chemical_formula_sum 'Al2 Rh8'
_space_group_name_H-M_alt 'I 4/m'
_space_group_IT_number 87
_space_group_name_Hall '-I 4'
_cell_length_a 6.045
_cell_length_b 6.045
_cell_length_c 3.856
_cell_angle_alpha 90.00
_cell_angle_beta 90.00
_cell_angle_gamma 90.00
loop_
_atom_site_label
_atom_site_fract_x
_atom_site_fract_y
_atom_site_fract_z
Al1 0.000 0.000 0.000
Rh1 0.103 0.302 0.500

***

Entry 4:
# Al7Rh6, optimized geometry, DFT PBE
# DOS at the Fermi energy, states/eV per atom: 0.8397
# Crystal system: trigonal
# Magnetic moment, μB per atom: 0.000
# Energy of formation from the pure elements, kJ/mol of formula units: -577
data_Al7Rh6
_chemical_formula_sum 'Al21 Rh18'
_space_group_name_H-M_alt 'R -3 m'
_space_group_IT_number 166
_space_group_name_Hall '-R 3 2"'
_cell_length_a 5.0792
_cell_length_b 5.0792
_cell_length_c 25.5115
_cell_angle_alpha 90.00
_cell_angle_beta 90.00
_cell_angle_gamma 120.00
loop_
_atom_site_label
_atom_site_fract_x
_atom_site_fract_y
_atom_site_fract_z
Al1 0.0000 0.0000 0.0000
Al2 0.0035 0.5018 0.4177
Rh1 0.0000 0.0000 0.1660
Rh2 0.0000 0.0000 0.3329
Rh3 0.0000 0.0000 0.4489

***

Entry 5:
# Al5Rh2, optimized geometry, DFT PBE
# DOS at the Fermi energy, states/eV per atom: 0.3696
# Crystal system: monoclinic
# Magnetic moment, μB per atom: 0.000
# Energy of formation from the pure elements, kJ/mol of formula units: -433
data_Al5Rh2
_chemical_formula_sum 'Al10 Rh4'
_space_group_name_H-M_alt 'C 1 2/m 1'
_space_group_IT_number 12
_cell_length_a 7.339
_cell_length_b 4.369
_cell_length_c 6.991
_cell_angle_alpha 90.00
_cell_angle_beta 106.81
_cell_angle_gamma 90.00
loop_
_space_group_symop_operation_xyz
'x,y,z'
'-x,-y,-z'
'-x,y,-z'
'x,-y,z'
'x+1/2,y+1/2,z'
'-x+1/2,-y+1/2,-z'
'-x+1/2,y+1/2,-z'
'x+1/2,-y+1/2,z'
loop_
_atom_site_label
_atom_site_fract_x
_atom_site_fract_y
_atom_site_fract_z
Al1 0.000 0.000 0.000
Al2 0.089 0.500 0.813
Al3 0.142 0.000 0.401
Rh1 0.237 0.000 0.776

***

Entry 6:
# Al3Rh, optimized geometry, DFT PBE
# DOS at the Fermi energy, states/eV per atom: 0.2361
# Crystal system: orthorhombic
# Magnetic moment, μB per atom: 0.000
# Energy of formation from the pure elements, kJ/mol of formula units: -137
data_Al3Rh
_chemical_formula_sum 'Al12 Rh4'
_space_group_name_H-M_alt 'C m c m'
_space_group_IT_number 63
_space_group_name_Hall '-C 2c 2'
_cell_length_a 7.948
_cell_length_b 8.133
_cell_length_c 4.239
_cell_angle_alpha 90.00
_cell_angle_beta 90.00
_cell_angle_gamma 90.00
loop_
_atom_site_label
_atom_site_fract_x
_atom_site_fract_y
_atom_site_fract_z
Al1 0.000 0.088 0.250
Al2 0.174 0.345 0.750
Rh1 0.000 0.382 0.250

***

Entry 7:
# Al7Rh5, optimized geometry, DFT PBE
# DOS at the Fermi energy, states/eV per atom: 0.4452
# Crystal system: monoclinic
# Magnetic moment, μB per atom: 0.000
# Energy of formation from the pure elements, kJ/mol of formula units: -607
data_Al7Rh5
_chemical_formula_sum 'Al14 Rh10'
_space_group_name_H-M_alt 'C 1 m 1'
_space_group_IT_number 8
_cell_length_a 5.743
_cell_length_b 7.662
_cell_length_c 8.632
_cell_angle_alpha 90.00
_cell_angle_beta 109.32
_cell_angle_gamma 90.00
loop_
_space_group_symop_operation_xyz
'x,y,z'
'x,-y,z'
'x+1/2,y+1/2,z'
'x+1/2,-y+1/2,z'
loop_
_atom_site_label
_atom_site_fract_x
_atom_site_fract_y
_atom_site_fract_z
Al1 0.000 0.000 0.000
Al2 0.006 0.500 0.015
Al3 0.152 0.250 0.813
Al4 0.220 0.000 0.399
Al5 0.345 0.255 0.190
Rh1 0.001 0.241 0.499
Rh2 0.141 0.500 0.312
Rh3 0.340 0.500 0.690
Rh4 0.356 0.000 0.719

***

Entry 8:
# Al3Rh5, optimized geometry, DFT PBE
# DOS at the Fermi energy, states/eV per atom: 1.0723
# Crystal system: triclinic
# Magnetic moment, μB per atom: 0.000
# Energy of formation from the pure elements, kJ/mol of formula units: -510
data_Al3Rh5
_chemical_formula_sum 'Al6 Rh10'
_space_group_name_H-M_alt 'P -1'
_space_group_IT_number 2
_cell_length_a 5.011
_cell_length_b 7.115
_cell_length_c 7.134
_cell_angle_alpha 83.83
_cell_angle_beta 69.78
_cell_angle_gamma 71.08
loop_
_space_group_symop_operation_xyz
'x,y,z'
'-x,-y,-z'
loop_
_atom_site_label
_atom_site_fract_x
_atom_site_fract_y
_atom_site_fract_z
Al1 0.178 0.498 0.166
Al2 0.249 0.000 0.002
Al3 0.295 0.835 0.502
Rh1 0.084 0.143 0.707
Rh2 0.206 0.703 0.854
Rh3 0.261 0.472 0.508
Rh4 0.296 0.142 0.295
Rh5 0.438 0.294 0.854

***

Entry 9:
# Al3Rh, optimized geometry, DFT PBE
# DOS at the Fermi energy, states/eV per atom: 0.4689
# Crystal system: cubic
# Magnetic moment, μB per atom: 0.000
# Energy of formation from the pure elements, kJ/mol of formula units: -191
data_Al3Rh
_chemical_formula_sum 'Al3 Rh1'
_space_group_name_H-M_alt 'P m -3 m'
_space_group_IT_number 221
_space_group_name_Hall '-P 4 2 3'
_cell_length_a 3.874
_cell_length_b 3.874
_cell_length_c 3.874
_cell_angle_alpha 90.00
_cell_angle_beta 90.00
_cell_angle_gamma 90.00
loop_
_atom_site_label
_atom_site_fract_x
_atom_site_fract_y
_atom_site_fract_z
Al1 0.000 0.000 0.500
Rh1 0.500 0.500 0.500

***

Entry 10:
# Al3Rh2, optimized geometry, DFT PBE
# DOS at the Fermi energy, states/eV per atom: 0.3710
# Crystal system: triclinic
# Magnetic moment, μB per atom: 0.000
# Energy of formation from the pure elements, kJ/mol of formula units: -366
data_Al3Rh2
_chemical_formula_sum 'Al6 Rh4'
_space_group_name_H-M_alt 'P -1'
_space_group_IT_number 2
_cell_length_a 4.889
_cell_length_b 5.725
_cell_length_c 5.800
_cell_angle_alpha 103.21
_cell_angle_beta 107.69
_cell_angle_gamma 96.51
loop_
_space_group_symop_operation_xyz
'x,y,z'
'-x,-y,-z'
loop_
_atom_site_label
_atom_site_fract_x
_atom_site_fract_y
_atom_site_fract_z
Al1 0.116 0.140 0.386
Al2 0.277 0.642 0.361
Al3 0.324 0.619 0.860
Rh1 0.107 0.268 0.994
Rh2 0.455 0.002 0.741

***

Entry 11:
# Al2Rh3, optimized geometry, DFT PBE
# DOS at the Fermi energy, states/eV per atom: 0.7247
# Crystal system: triclinic
# Magnetic moment, μB per atom: 0.000
# Energy of formation from the pure elements, kJ/mol of formula units: -315
data_Al2Rh3
_chemical_formula_sum 'Al4 Rh6'
_space_group_name_H-M_alt 'P 1'
_space_group_IT_number 1
_cell_length_a 4.588
_cell_length_b 4.791
_cell_length_c 7.305
_cell_angle_alpha 71.10
_cell_angle_beta 71.84
_cell_angle_gamma 73.60
loop_
_space_group_symop_operation_xyz
'x,y,z'
loop_
_atom_site_label
_atom_site_fract_x
_atom_site_fract_y
_atom_site_fract_z
Al1 0.000 0.000 0.000
Al2 0.191 0.997 0.596
Al3 0.425 0.490 0.895
Al4 0.789 0.046 0.390
Rh1 0.025 0.468 0.711
Rh2 0.193 0.539 0.311
Rh3 0.396 0.039 0.197
Rh4 0.592 0.002 0.775
Rh5 0.604 0.555 0.492
Rh6 0.811 0.504 0.099